Entry 1:
The following is a GGA-PBE calculation of a geometry-optimized Rb2NaNb structure, from the Alexandria database.

a b c (Å): 9.164 9.164 9.164
angles (deg): 90.00 90.00 90.00
Fractional positions:
Rb1 0.250 0.250 0.250
Rb2 0.250 0.250 0.750
Rb3 0.250 0.750 0.250
Rb4 0.250 0.750 0.750
Rb5 0.750 0.250 0.250
Rb6 0.750 0.250 0.750
Rb7 0.750 0.750 0.250
Rb8 0.750 0.750 0.750
Na1 0.000 0.000 0.000
Na2 0.000 0.500 0.500
Na3 0.500 0.000 0.500
Na4 0.500 0.500 0.000
Nb1 0.000 0.000 0.500
Nb2 0.000 0.500 0.000
Nb3 0.500 0.000 0.000
Nb4 0.500 0.500 0.500

Summary:
polymorph energy (0 for the lowest one): 0.00 eV/f.u.
calculated total energy: -2.156 eV/atom

=====

Entry 2:
The following is a GGA-PBE calculation of a geometry-optimized RbNa2NbSe4 structure, from the Alexandria database.

a b c (Å): 9.199 9.199 9.199
angles (deg): 130.09 125.87 76.71
Fractional positions:
Rb1 0.000 0.000 0.000
Rb2 0.500 0.000 0.500
Na1 0.000 0.500 0.500
Na2 0.500 0.000 0.000
Na3 0.500 0.500 0.000
Na4 0.500 0.500 0.500
Nb1 0.000 0.000 0.500
Nb2 0.000 0.500 0.000
Se1 0.175 0.217 0.542
Se2 0.175 0.633 0.958
Se3 0.214 0.240 0.974
Se4 0.234 0.760 0.474
Se5 0.766 0.240 0.526
Se6 0.786 0.760 0.026
Se7 0.825 0.367 0.042
Se8 0.825 0.783 0.458

Summary:
calculated total energy: -4.283 eV/atom

=====

Entry 3:
The following is a GGA-PBE calculation of a geometry-optimized RbNa2TaNb structure, from the Alexandria database.

a b c (Å): 5.628 5.628 5.566
angles (deg): 90.00 90.00 90.00
Fractional positions:
Rb1 0.000 0.000 0.000
Na1 0.000 0.500 0.500
Na2 0.500 0.000 0.500
Ta1 0.500 0.500 0.000
Nb1 0.000 0.000 0.500

Summary:
calculated total energy: -2.383 eV/atom

=====

Entry 4:
The following is a GGA-PBE calculation of a geometry-optimized RbNaNb2Tc structure, from the Alexandria database.

a b c (Å): 4.849 4.849 6.190
angles (deg): 90.00 90.00 90.00
Fractional positions:
Rb1 0.000 0.000 0.000
Na1 0.500 0.500 0.000
Nb1 0.000 0.500 0.500
Nb2 0.500 0.000 0.500
Tc1 0.500 0.500 0.500

Summary:
calculated total energy: -5.503 eV/atom

=====

Entry 5:
The following is a GGA-PBE calculation of a geometry-optimized Na2NbReSn structure, from the Alexandria database.

a b c (Å): 4.953 4.953 5.106
angles (deg): 90.00 90.00 90.00
Fractional positions:
Na1 0.000 0.500 0.000
Na2 0.500 0.000 0.000
Nb1 0.000 0.000 0.500
Re1 0.500 0.500 0.500
Sn1 0.500 0.500 0.000

Summary:
calculated total energy: -4.007 eV/atom

=====

Entry 6:
The following is a GGA-PBE calculation of a geometry-optimized NaNbRe2Sn structure, from the Alexandria database.

a b c (Å): 4.870 4.870 5.392
angles (deg): 90.00 90.00 90.00
Fractional positions:
Na1 0.000 0.000 0.000
Nb1 0.500 0.500 0.500
Re1 0.000 0.500 0.500
Re2 0.500 0.000 0.500
Sn1 0.500 0.500 0.000

Summary:
calculated total energy: -6.452 eV/atom

=====

Entry 7:
The following is a GGA-PBE calculation of a geometry-optimized NaYNb2Re structure, from the Alexandria database.

a b c (Å): 4.721 4.721 4.847
angles (deg): 90.00 90.00 90.00
Fractional positions:
Na1 0.000 0.000 0.000
Y1 0.500 0.500 0.500
Nb1 0.000 0.500 0.000
Nb2 0.500 0.000 0.000
Re1 0.000 0.000 0.500

Summary:
calculated total energy: -6.107 eV/atom

=====

Entry 8:
The following is a GGA-PBE calculation of a geometry-optimized Na2ZrNbRe structure, from the Alexandria database.

a b c (Å): 4.964 4.964 4.771
angles (deg): 90.00 90.00 90.00
Fractional positions:
Na1 0.000 0.500 0.000
Na2 0.500 0.000 0.000
Zr1 0.000 0.000 0.000
Nb1 0.500 0.500 0.500
Re1 0.000 0.000 0.500

Summary:
calculated total energy: -4.675 eV/atom